Record 1
The following is a DFT calculation (GGA-PBE) of Sc2BMo after structural relaxation.

Properties
Total magnetization (μB per formula unit): 1.18

Unit cell a=6.2500 b=6.2500 c=6.2500 alpha=90.00 beta=90.00 gamma=90.00
Space group F-43m (No. 216)
Inequivalent atoms, fractional coordinates:
Sc  0.0000  0.0000  0.0000
Sc  0.2500  0.2500  0.2500
B  0.0000  0.0000  0.5000
Mo  0.2500  0.2500  0.7500

Record 2
The following is a DFT calculation (GGA-PBE) of PmNbAsO after structural relaxation.

Properties
Energy above the most stable polymorph in this dataset (kJ/mol of atoms): 110.6
Total magnetization (μB per formula unit): 0.01

Unit cell a=4.1850 b=4.1850 c=8.0883 alpha=90.00 beta=90.00 gamma=90.00
Space group P4/nmm (No. 129, origin choice 2)
Inequivalent atoms, fractional coordinates:
Pm  0.2500  0.7500  0.0000
Nb  0.2500  0.2500  0.4034
As  0.2500  0.2500  0.7404
O  0.2500  0.7500  0.5000

Record 3
The following is a DFT calculation (GGA-PBE) of KSmAlTe3 after structural relaxation.

Properties
Total magnetization (μB per formula unit): 0.09

Unit cell a=4.8401 b=15.1906 c=11.8967 alpha=90.00 beta=90.00 gamma=90.00
Space group Cmcm (No. 63)
Inequivalent atoms, fractional coordinates:
K  0.0000  0.2493  0.2500
Sm  0.0000  0.0000  0.0000
Al  0.0000  0.4807  0.7500
Te  0.0000  0.0681  0.7500
Te  0.0000  0.3714  0.5695

Record 4
The following is a DFT calculation (GGA-PBE) of LuZr2O4 after structural relaxation.

Properties
Total magnetization (μB per formula unit): 0.00

Unit cell a=9.1732 b=9.1732 c=9.1732 alpha=90.00 beta=90.00 gamma=90.00
Space group Fd-3m (No. 227, origin choice 2)
Inequivalent atoms, fractional coordinates:
Lu  0.1250  0.1250  0.1250
Zr  0.0000  0.0000  0.5000
O  0.0045  0.0045  0.7455

Record 5
The following is a DFT calculation (GGA-PBE) of CuSbPb after structural relaxation.

Properties
Energy above the most stable polymorph in this dataset (kJ/mol of atoms): 0.3

Unit cell a=4.4664 b=4.4664 c=8.7627 alpha=90.00 beta=90.00 gamma=120.00
Space group P6_3/mmc (No. 194)
Inequivalent atoms, fractional coordinates:
Cu  0.3333  0.6667  0.2500
Sb  0.3333  0.6667  0.7500
Pb  0.0000  0.0000  0.0000

Record 6
The following is a DFT calculation (GGA-PBE) of Cu2SnTe2F2 after structural relaxation.

Unit cell a=3.8053 b=3.8053 c=9.3648 alpha=90.00 beta=90.00 gamma=90.00
Space group P-4m2 (No. 115)
Inequivalent atoms, fractional coordinates:
Cu  0.0000  0.5000  0.1230
Sn  0.5000  0.5000  0.5000
Te  0.0000  0.5000  0.7302
F  0.0000  0.0000  0.0000
F  0.5000  0.5000  0.0000

Record 7
The following is a DFT calculation (GGA-PBE) of LiPbW2 after structural relaxation.

Properties
Total magnetization (μB per formula unit): 0.00

Unit cell a=6.4858 b=6.4858 c=6.4858 alpha=90.00 beta=90.00 gamma=90.00
Space group F-43m (No. 216)
Inequivalent atoms, fractional coordinates:
Li  0.0000  0.0000  0.0000
Pb  0.2500  0.2500  0.7500
W  0.0000  0.0000  0.5000
W  0.2500  0.2500  0.2500

Record 8
The following is a DFT calculation (GGA-PBE) of Dy4Mg3Fe2 after structural relaxation.

Properties
Total magnetization (μB per formula unit): 2.51

Unit cell a=7.4639 b=3.7659 c=8.1447 alpha=90.00 beta=109.96 gamma=90.00
Space group P2/m (No. 10)
Inequivalent atoms, fractional coordinates:
Dy  0.0949  0.0000  0.2259
Dy  0.3922  0.0000  0.6836
Mg  0.0000  0.5000  0.5000
Mg  0.2912  0.5000  0.0030
Fe  0.3602  0.5000  0.4003

| no. | raw total energy (eV per cell) |
| --- | --- |
| 1 | -112.6 |
| 2 | -54.7 |
| 3 | -98.4 |
| 4 | -491.3 |
| 5 | -22.8 |
| 6 | -24.9 |
| 7 | -116.5 |
| 8 | -40.1 |